Model A:
# Be2PdRu2

A relaxed structure of Be2PdRu2 (PBE, Alexandria via LeMat-Bulk).

Computed properties:
Fermi-level density of states = 4.4 states/eV/f.u.
calculated density = 8.69 g cm⁻³
total magnetic moment = 0.00 μB/cell
crystal system = tetragonal

Cell lengths 6.8187, 6.8187, 2.6841 Å; angles 90.00, 90.00, 90.00 degrees
Last column: nearest neighbours and their distance in Å.
Sites, in units of the cell vectors:
Be 0.1691 0.3309 0.0000  6 Ru 2.38-2.44
Be 0.3309 0.8309 0.0000  6 Ru 2.38-2.44
Be 0.6691 0.1691 0.0000  6 Ru 2.38-2.44
Be 0.8309 0.6691 0.0000  6 Ru 2.38-2.44
Pd 0.0000 0.0000 0.5000  2 Pd 2.68, 4 Ru 2.69, 8 Be 2.87
Pd 0.5000 0.5000 0.5000  2 Pd 2.68, 4 Ru 2.69, 8 Be 2.87
Ru 0.1265 0.6265 0.5000  6 Be 2.38-2.44, 1 Ru 2.44
Ru 0.3735 0.1265 0.5000  6 Be 2.38-2.44, 1 Ru 2.44
Ru 0.6265 0.8735 0.5000  6 Be 2.38-2.44, 1 Ru 2.44
Ru 0.8735 0.3735 0.5000  6 Be 2.38-2.44, 1 Ru 2.44

***

Model B:
# Be2PdRu2

A relaxed structure of Be2PdRu2 (PBE, Alexandria via LeMat-Bulk).

Computed properties:
Fermi-level density of states = 5.1 states/eV/f.u.
calculated density = 9.34 g cm⁻³
total magnetic moment = 0.00 μB/cell
crystal system = tetragonal

Cell lengths 6.0741, 6.0741, 3.1471 Å; angles 90.00, 90.00, 90.00 degrees
Last column: nearest neighbours and their distance in Å.
Sites, in units of the cell vectors:
Be 0.1249 0.3751 0.0000  1 Be 2.15, 6 Ru 2.36-2.40, 2 Pd 2.40
Be 0.3751 0.8751 0.0000  1 Be 2.15, 6 Ru 2.36-2.40, 2 Pd 2.40
Be 0.6249 0.1249 0.0000  1 Be 2.15, 6 Ru 2.36-2.40, 2 Pd 2.40
Be 0.8751 0.6249 0.0000  1 Be 2.15, 6 Ru 2.36-2.40, 2 Pd 2.40
Pd 0.0000 0.0000 0.0000  4 Be 2.40
Pd 0.5000 0.5000 0.0000  4 Be 2.40
Ru 0.1705 0.6705 0.5000  6 Be 2.36-2.40
Ru 0.3295 0.1705 0.5000  6 Be 2.36-2.40
Ru 0.6705 0.8295 0.5000  6 Be 2.36-2.40
Ru 0.8295 0.3295 0.5000  6 Be 2.36-2.40

***

How do the energies compare? Relative to the most stable structure, in kJ/mol of atoms: model A 28.0; model B 0.0.

***

Model A:
# BePdRu3

A relaxed structure of BePdRu3 (PBE, Alexandria via LeMat-Bulk).

Computed properties:
Fermi-level density of states = 4.2 states/eV/f.u.
calculated density = 10.14 g cm⁻³
total magnetic moment = 0.00 μB/cell
crystal system = cubic

Cell lengths 4.0924, 4.0924, 4.0924 Å; angles 90.00, 90.00, 90.00 degrees
Last column: nearest neighbours and their distance in Å.
Sites, in units of the cell vectors:
Be 0.0000 0.0000 0.0000  6 Ru 2.05
Pd 0.5000 0.5000 0.5000  12 Ru 2.89
Ru 0.0000 0.0000 0.5000  2 Be 2.05
Ru 0.0000 0.5000 0.0000  2 Be 2.05
Ru 0.5000 0.0000 0.0000  2 Be 2.05

***

Model B:
# BePdRu3

A relaxed structure of BePdRu3 (PBE, Alexandria via LeMat-Bulk).

Computed properties:
Fermi-level density of states = 5.4 states/eV/f.u.
calculated density = 6.57 g cm⁻³
total magnetic moment = 6.07 μB/cell
crystal system = cubic

Cell lengths 4.7306, 4.7306, 4.7306 Å; angles 90.00, 90.00, 90.00 degrees
Last column: nearest neighbours and their distance in Å.
Sites, in units of the cell vectors:
Be 0.0000 0.0000 0.0000  12 Ru 3.35
Pd 0.5000 0.5000 0.5000  6 Ru 2.37
Ru 0.0000 0.5000 0.5000  2 Pd 2.37
Ru 0.5000 0.0000 0.5000  2 Pd 2.37
Ru 0.5000 0.5000 0.0000  2 Pd 2.37

***

How do the energies compare? Relative to the most stable structure, in kJ/mol of atoms: model A 0.0; model B 166.1.

***

Model A:
# BeSb2Pd2

A relaxed structure of BeSb2Pd2 (PBE, Alexandria via LeMat-Bulk).

Computed properties:
Fermi-level density of states = 3.3 states/eV/f.u.
calculated density = 7.58 g cm⁻³
total magnetic moment = 0.00 μB/cell
crystal system = tetragonal

Cell lengths 7.4542, 7.4542, 7.4542 Å; angles 150.22, 150.22, 42.62 degrees
Last column: nearest neighbours and their distance in Å.
Sites, in units of the cell vectors:
Be 0.0000 0.0000 0.0000  8 Sb 3.09
Sb 0.3924 0.3924 0.0000  4 Pd 2.75, 1 Sb 2.99
Sb 0.6076 0.6076 0.0000  4 Pd 2.75, 1 Sb 2.99
Pd 0.2500 0.7500 0.5000  4 Pd 2.71, 4 Sb 2.75
Pd 0.7500 0.2500 0.5000  4 Pd 2.71, 4 Sb 2.75

***

Model B:
# BeSb2Pd2

A relaxed structure of BeSb2Pd2 (PBE, Alexandria via LeMat-Bulk).

Computed properties:
Fermi-level density of states = 2.5 states/eV/f.u.
calculated density = 8.00 g cm⁻³
total magnetic moment = 0.00 μB/cell
crystal system = tetragonal

Cell lengths 6.8122, 6.8122, 4.1641 Å; angles 90.00, 90.00, 90.00 degrees
Last column: nearest neighbours and their distance in Å.
Sites, in units of the cell vectors:
Be 0.0000 0.0000 0.0000  4 Sb 2.55
Be 0.5000 0.5000 0.0000  4 Sb 2.55
Sb 0.1621 0.3379 0.0000  2 Be 2.55, 2 Pd 2.79
Sb 0.3379 0.8379 0.0000  2 Be 2.55, 2 Pd 2.79
Sb 0.6621 0.1621 0.0000  2 Be 2.55, 2 Pd 2.79
Sb 0.8379 0.6621 0.0000  2 Be 2.55, 2 Pd 2.79
Pd 0.1449 0.6449 0.5000  1 Pd 2.79, 6 Sb 2.79-2.95
Pd 0.3551 0.1449 0.5000  1 Pd 2.79, 6 Sb 2.79-2.95
Pd 0.6449 0.8551 0.5000  1 Pd 2.79, 6 Sb 2.79-2.95
Pd 0.8551 0.3551 0.5000  1 Pd 2.79, 6 Sb 2.79-2.95

***

Model C:
# BeSb2Pd2

A relaxed structure of BeSb2Pd2 (PBE, Alexandria via LeMat-Bulk).

Computed properties:
Fermi-level density of states = 1.6 states/eV/f.u.
calculated density = 8.30 g cm⁻³
total magnetic moment = 0.00 μB/cell
crystal system = tetragonal

Cell lengths 6.2311, 6.2311, 4.7952 Å; angles 90.00, 90.00, 90.00 degrees
Last column: nearest neighbours and their distance in Å.
Sites, in units of the cell vectors:
Be 0.0000 0.0000 0.0000  4 Pd 2.34
Be 0.5000 0.5000 0.0000  4 Pd 2.34
Sb 0.1804 0.3196 0.5000  2 Pd 2.77
Sb 0.3196 0.8196 0.5000  2 Pd 2.77
Sb 0.6804 0.1804 0.5000  2 Pd 2.77
Sb 0.8196 0.6804 0.5000  2 Pd 2.77
Pd 0.1616 0.6616 0.0000  2 Be 2.34
Pd 0.3384 0.1616 0.0000  2 Be 2.34
Pd 0.6616 0.8384 0.0000  2 Be 2.34
Pd 0.8384 0.3384 0.0000  2 Be 2.34

***

How do the energies compare? Relative to the most stable structure, in kJ/mol of atoms: model A 32.1; model B 19.2; model C 0.0.

***

Model A:
# BeSb2Pd8

A relaxed structure of BeSb2Pd8 (PBE, Alexandria via LeMat-Bulk).

Computed properties:
Fermi-level density of states = 4.9 states/eV/f.u.
calculated density = 10.39 g cm⁻³
total magnetic moment = 0.00 μB/cell
crystal system = monoclinic

Cell lengths 7.7082, 7.7082, 5.8180 Å; angles 110.74, 110.74, 33.32 degrees
Last column: nearest neighbours and their distance in Å.
Sites, in units of the cell vectors:
Be 0.0000 0.0000 0.0000  4 Pd 2.30-2.32
Sb 0.3273 0.3273 0.3130  9 Pd 2.61-2.89
Sb 0.6727 0.6727 0.6870  9 Pd 2.61-2.89
Pd 0.1034 0.1034 0.4076  1 Be 2.30
Pd 0.1466 0.1466 0.9405  1 Be 2.32
Pd 0.3054 0.3054 0.7446  3 Sb 2.65-2.89, 6 Pd 2.79-2.96
Pd 0.4876 0.4876 0.2218  2 Be 2.60, 1 Sb 2.61, 5 Pd 2.74-2.88
Pd 0.5124 0.5124 0.7782  2 Be 2.60, 1 Sb 2.61, 5 Pd 2.74-2.88
Pd 0.6946 0.6946 0.2554  3 Sb 2.65-2.89, 6 Pd 2.79-2.96
Pd 0.8534 0.8534 0.0595  1 Be 2.32
Pd 0.8966 0.8966 0.5924  1 Be 2.30

***

Model B:
# BeSb2Pd8

A relaxed structure of BeSb2Pd8 (PBE, Alexandria via LeMat-Bulk).

Computed properties:
Fermi-level density of states = 4.0 states/eV/f.u.
calculated density = 10.22 g cm⁻³
total magnetic moment = 0.00 μB/cell
crystal system = orthorhombic

Cell lengths 7.2065, 7.2065, 7.2065 Å; angles 146.84, 116.99, 73.08 degrees
Last column: nearest neighbours and their distance in Å.
Sites, in units of the cell vectors:
Be 0.0000 0.0000 0.0000  8 Pd 2.52-2.70
Sb 0.3085 0.3085 0.0000  10 Pd 2.65-2.95
Sb 0.6915 0.6915 0.0000  10 Pd 2.65-2.95
Pd 0.1080 0.8427 0.2654  3 Sb 2.66-2.74, 1 Be 2.70, 4 Pd 2.77-2.89
Pd 0.1258 0.6258 0.5000  2 Be 2.52, 2 Pd 2.74
Pd 0.3074 0.5000 0.8074  2 Sb 2.65, 7 Pd 2.74-2.90
Pd 0.4227 0.1573 0.2654  3 Sb 2.66-2.74, 1 Be 2.70, 4 Pd 2.77-2.89
Pd 0.5773 0.8427 0.7346  3 Sb 2.66-2.74, 1 Be 2.70, 4 Pd 2.77-2.89
Pd 0.6926 0.5000 0.1926  2 Sb 2.65, 7 Pd 2.74-2.90
Pd 0.8742 0.3742 0.5000  2 Be 2.52, 2 Pd 2.74
Pd 0.8920 0.1573 0.7346  3 Sb 2.66-2.74, 1 Be 2.70, 4 Pd 2.77-2.89

***

How do the energies compare? Relative to the most stable structure, in kJ/mol of atoms: model A 0.0; model B 1.4.

***

Model A:
# BeSbTe2Pd

A relaxed structure of BeSbTe2Pd (PBE, Alexandria via LeMat-Bulk).

Computed properties:
Fermi-level density of states = 4.0 states/eV/f.u.
calculated density = 6.94 g cm⁻³
total magnetic moment = 0.00 μB/cell
crystal system = tetragonal

Cell lengths 4.9932, 4.9932, 4.7231 Å; angles 90.00, 90.00, 90.00 degrees
Last column: nearest neighbours and their distance in Å.
Sites, in units of the cell vectors:
Be 0.0000 0.0000 0.0000  2 Sb 2.36, 4 Te 2.50
Sb 0.0000 0.0000 0.5000  2 Be 2.36
Te 0.0000 0.5000 0.0000  2 Be 2.50
Te 0.5000 0.0000 0.0000  2 Be 2.50
Pd 0.5000 0.5000 0.5000  8 Te 3.44, 4 Sb 3.53

***

Model B:
# BeSbTe2Pd

A relaxed structure of BeSbTe2Pd (PBE, Alexandria via LeMat-Bulk).

Computed properties:
Fermi-level density of states = 5.7 states/eV/f.u.
calculated density = 5.57 g cm⁻³
total magnetic moment = 0.00 μB/cell
crystal system = tetragonal

Cell lengths 5.3715, 5.3715, 5.0843 Å; angles 90.00, 90.00, 90.00 degrees
Last column: nearest neighbours and their distance in Å.
Sites, in units of the cell vectors:
Be 0.0000 0.0000 0.0000  8 Te 3.70, 4 Sb 3.80
Sb 0.5000 0.5000 0.0000  2 Pd 2.54
Te 0.0000 0.5000 0.5000  2 Pd 2.69
Te 0.5000 0.0000 0.5000  2 Pd 2.69
Pd 0.5000 0.5000 0.5000  2 Sb 2.54, 4 Te 2.69

***

How do the energies compare? Relative to the most stable structure, in kJ/mol of atoms: model A 0.0; model B 27.5.

***

Model A:
# Sc2BePd2

A relaxed structure of Sc2BePd2 (PBE, Alexandria via LeMat-Bulk).

Computed properties:
Fermi-level density of states = 3.1 states/eV/f.u.
calculated density = 5.92 g cm⁻³
total magnetic moment = 0.00 μB/cell
crystal system = tetragonal

Cell lengths 6.6500, 6.6500, 3.9543 Å; angles 90.00, 90.00, 90.00 degrees
Last column: nearest neighbours and their distance in Å.
Sites, in units of the cell vectors:
Sc 0.1686 0.3314 0.0000  6 Pd 2.63-2.88
Sc 0.3314 0.8314 0.0000  6 Pd 2.63-2.88
Sc 0.6686 0.1686 0.0000  6 Pd 2.63-2.88
Sc 0.8314 0.6686 0.0000  6 Pd 2.63-2.88
Be 0.0000 0.0000 0.5000  4 Pd 2.55
Be 0.5000 0.5000 0.5000  4 Pd 2.55
Pd 0.1463 0.6463 0.5000  2 Be 2.55, 2 Sc 2.63, 1 Pd 2.75
Pd 0.3537 0.1463 0.5000  2 Be 2.55, 2 Sc 2.63, 1 Pd 2.75
Pd 0.6463 0.8537 0.5000  2 Be 2.55, 2 Sc 2.63, 1 Pd 2.75
Pd 0.8537 0.3537 0.5000  2 Be 2.55, 2 Sc 2.63, 1 Pd 2.75

***

Model B:
# Sc2BePd2

A relaxed structure of Sc2BePd2 (PBE, Alexandria via LeMat-Bulk).

Computed properties:
Fermi-level density of states = 2.6 states/eV/f.u.
calculated density = 5.39 g cm⁻³
total magnetic moment = 0.00 μB/cell
crystal system = tetragonal

Cell lengths 5.1210, 5.1210, 5.1210 Å; angles 119.26, 119.26, 91.28 degrees
Last column: nearest neighbours and their distance in Å.
Sites, in units of the cell vectors:
Sc 0.2500 0.7500 0.5000  4 Pd 2.63
Sc 0.7500 0.2500 0.5000  4 Pd 2.63
Be 0.0000 0.0000 0.0000  2 Pd 2.28
Pd 0.3182 0.3182 0.0000  1 Be 2.28
Pd 0.6818 0.6818 0.0000  1 Be 2.28

***

How do the energies compare? Relative to the most stable structure, in kJ/mol of atoms: model A 0.0; model B 18.5.

***

Model A:
# ScBePd3

A relaxed structure of ScBePd3 (PBE, Alexandria via LeMat-Bulk).

Computed properties:
Fermi-level density of states = 4.7 states/eV/f.u.
calculated density = 7.94 g cm⁻³
total magnetic moment = 0.00 μB/cell
crystal system = cubic

Cell lengths 4.2731, 4.2731, 4.2731 Å; angles 90.00, 90.00, 90.00 degrees
Last column: nearest neighbours and their distance in Å.
Sites, in units of the cell vectors:
Sc 0.0000 0.0000 0.0000  12 Pd 3.02
Be 0.5000 0.5000 0.5000  6 Pd 2.14
Pd 0.0000 0.5000 0.5000  2 Be 2.14
Pd 0.5000 0.0000 0.5000  2 Be 2.14
Pd 0.5000 0.5000 0.0000  2 Be 2.14

***

Model B:
# ScBePd3

A relaxed structure of ScBePd3 (PBE, Alexandria via LeMat-Bulk).

Computed properties:
Fermi-level density of states = 2.3 states/eV/f.u.
calculated density = 5.91 g cm⁻³
total magnetic moment = 0.00 μB/cell
crystal system = cubic

Cell lengths 4.7151, 4.7151, 4.7151 Å; angles 90.00, 90.00, 90.00 degrees
Last column: nearest neighbours and their distance in Å.
Sites, in units of the cell vectors:
Sc 0.0000 0.0000 0.0000  6 Pd 2.36
Be 0.5000 0.5000 0.5000  12 Pd 3.33
Pd 0.0000 0.0000 0.5000  2 Sc 2.36
Pd 0.0000 0.5000 0.0000  2 Sc 2.36
Pd 0.5000 0.0000 0.0000  2 Sc 2.36

***

How do the energies compare? Relative to the most stable structure, in kJ/mol of atoms: model A 0.0; model B 125.1.

***

Model A:
# BePd2Se

A relaxed structure of BePd2Se (PBE, Alexandria via LeMat-Bulk).

Computed properties:
Fermi-level density of states = 3.1 states/eV/f.u.
calculated density = 8.58 g cm⁻³
total magnetic moment = 0.00 μB/cell
crystal system = cubic

Cell lengths 4.3499, 4.3499, 4.3499 Å; angles 60.00, 60.00, 60.00 degrees
Last column: nearest neighbours and their distance in Å.
Sites, in units of the cell vectors:
Be 0.0000 0.0000 0.0000  8 Pd 2.66
Pd 0.2500 0.2500 0.2500  4 Se 2.66, 4 Be 2.66
Pd 0.7500 0.7500 0.7500  4 Se 2.66, 4 Be 2.66
Se 0.5000 0.5000 0.5000  8 Pd 2.66

***

Model B:
# BePd2Se

A relaxed structure of BePd2Se (PBE, Alexandria via LeMat-Bulk).

Computed properties:
Fermi-level density of states = 0.5 states/eV/f.u.
calculated density = 7.89 g cm⁻³
total magnetic moment = 0.00 μB/cell
crystal system = tetragonal

Cell lengths 8.6225, 8.6225, 8.6225 Å; angles 153.59, 153.59, 37.69 degrees
Last column: nearest neighbours and their distance in Å.
Sites, in units of the cell vectors:
Be 0.0000 0.0000 0.0000  4 Pd 2.46
Be 0.7500 0.2500 0.5000  4 Pd 2.46
Pd 0.1163 0.6250 0.9913  2 Be 2.46, 2 Se 2.48, 2 Pd 2.74
Pd 0.3750 0.3663 0.4913  2 Be 2.46, 2 Se 2.48, 2 Pd 2.74
Pd 0.6337 0.1250 0.0087  2 Be 2.46, 2 Se 2.48, 2 Pd 2.74
Pd 0.8750 0.8837 0.5087  2 Be 2.46, 2 Se 2.48, 2 Pd 2.74
Se 0.2500 0.7500 0.5000  4 Pd 2.48
Se 0.5000 0.5000 0.0000  4 Pd 2.48

***

How do the energies compare? Relative to the most stable structure, in kJ/mol of atoms: model A 3.6; model B 0.0.